--- w ---
Below is a relaxed structure of PdC2N2, with properties calculated at the GGA-PBE level.

* total magnetic moment: 0.000 μB per formula unit

a b c (Å): 6.5740 6.5740 2.4191
angles (deg): 90.00 90.00 90.00
Atoms (fractional coordinates):
N1 0.1339 0.3661 0.5000
C1 0.6935 0.1935 0.0000
N2 0.8661 0.6339 0.5000
Pd1 0.5000 0.5000 0.0000
N3 0.6339 0.1339 0.5000
C2 0.8065 0.6935 0.0000
C3 0.1935 0.3065 0.0000
C4 0.3065 0.8065 0.0000
Pd2 0.0000 0.0000 0.0000
N4 0.3661 0.8661 0.5000

=====

--- x ---
Below is a relaxed structure of PdC2N2, with properties calculated at the GGA-PBE level.

* total magnetic moment: 0.000 μB per formula unit

a b c (Å): 5.1327 5.1327 15.7497
angles (deg): 90.00 90.00 90.78
Atoms (fractional coordinates):
C1 0.1176 0.5099 0.1213
C2 0.3824 0.9901 0.6213
C3 0.9901 0.3824 0.3787
C4 0.6176 0.0099 0.3787
Pd1 0.6124 0.3876 0.3789
N1 0.2173 0.3826 0.3786
Pd2 0.8876 0.1124 0.8789
N2 0.3826 0.2173 0.6214
N3 0.7173 0.8826 0.1214
N4 0.8826 0.7173 0.8786
C5 0.8824 0.4901 0.8787
Pd3 0.1124 0.8876 0.1211
N5 0.1174 0.2827 0.1214
C6 0.0099 0.6176 0.6213
C7 0.4901 0.8824 0.1213
N6 0.7827 0.6174 0.6214
N7 0.2827 0.1174 0.8786
Pd4 0.3876 0.6124 0.6211
N8 0.6174 0.7827 0.3786
C8 0.5099 0.1176 0.8787

=====

Which of them is the least stable? Correct choice: w.

=====

--- w ---
Below is a relaxed structure of Pd2CN, with properties calculated at the GGA-PBE level.

* total magnetic moment: 0.000 μB per formula unit

a b c (Å): 3.9267 3.9267 3.9267
angles (deg): 60.00 60.00 60.00
Atoms (fractional coordinates):
C1 0.0000 0.0000 0.0000
Pd1 0.2500 0.2500 0.2500
Pd2 0.7500 0.7500 0.7500
N1 0.5000 0.5000 0.5000

=====

--- x ---
Below is a relaxed structure of Pd2CN, with properties calculated at the GGA-PBE level.

* total magnetic moment: 0.000 μB per formula unit

a b c (Å): 4.6547 4.6547 5.8850
angles (deg): 66.70 66.70 90.00
Atoms (fractional coordinates):
N1 0.0000 0.0000 0.0000
N2 0.7500 0.2500 0.5000
Pd1 0.6107 0.1250 0.2500
Pd2 0.8750 0.8607 0.7500
C1 0.5000 0.5000 0.0000
Pd3 0.1393 0.6250 0.2500
Pd4 0.3750 0.3893 0.7500
C2 0.2500 0.7500 0.5000

=====

Which of them is the least stable? Correct choice: w.

=====

--- w ---
Below is a relaxed structure of Pd2C2N, with properties calculated at the GGA-PBE level.

* total magnetic moment: 0.000 μB per formula unit

a b c (Å): 2.6389 2.6389 7.2654
angles (deg): 79.54 79.54 90.00
Atoms (fractional coordinates):
N1 0.0000 0.0000 0.0000
C1 0.2500 0.7500 0.5000
Pd1 0.6035 0.6035 0.7931
C2 0.7500 0.2500 0.5000
Pd2 0.3965 0.3965 0.2069

=====

--- x ---
Below is a relaxed structure of Pd2C2N, with properties calculated at the GGA-PBE level.

* total magnetic moment: 0.620 μB per formula unit

a b c (Å): 6.0173 6.0173 3.2118
angles (deg): 90.00 90.00 90.00
Atoms (fractional coordinates):
Pd1 0.2286 0.7286 0.0000
C1 0.5778 0.9222 0.5000
Pd2 0.2714 0.2286 0.0000
C2 0.4222 0.0778 0.5000
C3 0.0778 0.5778 0.5000
Pd3 0.7714 0.2714 0.0000
Pd4 0.7286 0.7714 0.0000
C4 0.9222 0.4222 0.5000
N1 0.5000 0.5000 0.0000
N2 0.0000 0.0000 0.0000

=====

Which of them is the least stable? Correct choice: w.

=====

--- w ---
Below is a relaxed structure of PdCSN2, with properties calculated at the GGA-PBE level.

* total magnetic moment: 4.001 μB per formula unit

a b c (Å): 3.8257 3.8257 5.3880
angles (deg): 90.00 90.00 90.00
Atoms (fractional coordinates):
Pd1 0.0000 0.0000 0.0000
S1 0.0000 0.0000 0.5000
C1 0.5000 0.5000 0.5000
N1 0.0000 0.5000 0.0000
N2 0.5000 0.0000 0.0000

=====

--- x ---
Below is a relaxed structure of PdCSN2, with properties calculated at the GGA-PBE level.

* total magnetic moment: 0.000 μB per formula unit

a b c (Å): 3.1680 3.1680 7.1956
angles (deg): 90.00 90.00 90.00
Atoms (fractional coordinates):
Pd1 0.5000 0.5000 0.5000
C1 0.0000 0.0000 0.0000
N1 0.5000 0.0000 0.0000
N2 0.0000 0.5000 0.0000
S1 0.0000 0.0000 0.5000

=====

Which of them is the least stable? Correct choice: w.

=====

--- w ---
Below is a relaxed structure of PmCN, with properties calculated at the GGA-PBE level.

* total magnetic moment: 0.991 μB per formula unit

a b c (Å): 3.9684 4.0150 7.1072
angles (deg): 94.06 90.00 119.62
Atoms (fractional coordinates):
C1 0.5625 0.1249 0.9404
N1 0.8196 0.6391 0.3791
N2 0.1804 0.3609 0.6209
Pm1 0.8517 0.7035 0.7170
Pm2 0.1483 0.2965 0.2830
C2 0.4375 0.8751 0.0596

=====

--- x ---
Below is a relaxed structure of PmCN, with properties calculated at the GGA-PBE level.

* total magnetic moment: 0.000 μB per formula unit

a b c (Å): 3.7269 3.7269 4.0849
angles (deg): 117.14 117.14 90.00
Atoms (fractional coordinates):
N1 0.8854 0.8854 0.7708
C1 0.6818 0.6818 0.3635
Pm1 0.2828 0.2828 0.5657

=====

Which of them is the least stable? Correct choice: w.

=====

--- w ---
Below is a relaxed structure of Pm6C2N, with properties calculated at the GGA-PBE level.

* total magnetic moment: 1.423 μB per formula unit

a b c (Å): 3.6567 7.6699 8.5524
angles (deg): 107.02 102.34 90.00
Atoms (fractional coordinates):
Pm1 0.9929 0.7707 0.9858
C1 0.8354 0.6703 0.6708
Pm2 0.0071 0.2293 0.0142
Pm3 0.3431 0.9021 0.6862
Pm4 0.6569 0.0979 0.3138
N1 0.5000 0.0000 0.0000
Pm5 0.3261 0.4338 0.6523
C2 0.1646 0.3297 0.3292
Pm6 0.6739 0.5662 0.3477

=====

--- x ---
Below is a relaxed structure of Pm6C2N, with properties calculated at the GGA-PBE level.

* total magnetic moment: 0.000 μB per formula unit

a b c (Å): 4.1431 6.7121 9.7165
angles (deg): 64.79 77.69 72.02
Atoms (fractional coordinates):
Pm1 0.3603 0.6777 0.6018
C1 0.2430 0.6664 0.8475
Pm2 0.0604 0.1608 0.7184
Pm3 0.6397 0.3223 0.3982
C2 0.7570 0.3336 0.1525
Pm4 0.6571 0.7258 0.9599
N1 0.0000 0.5000 0.5000
Pm5 0.3429 0.2742 0.0401
Pm6 0.9396 0.8392 0.2816

=====

Which of them is the least stable? Correct choice: x.

=====

--- w ---
Below is a relaxed structure of PmCN2, with properties calculated at the GGA-PBE level.

* total magnetic moment: 0.000 μB per formula unit

a b c (Å): 5.5308 6.7811 6.5838
angles (deg): 112.14 90.00 90.00
Atoms (fractional coordinates):
N1 0.2603 0.1343 0.6029
N2 0.2398 0.8656 0.8970
Pm1 0.8320 0.7501 0.0001
N3 0.2397 0.6343 0.1029
Pm2 0.1680 0.2499 0.9999
N4 0.2602 0.3656 0.3970
N5 0.7603 0.3657 0.8971
N6 0.7397 0.8657 0.3971
Pm3 0.6680 0.2501 0.5001
N7 0.7398 0.6344 0.6030
C1 0.6782 0.2501 0.0001
Pm4 0.3320 0.7499 0.4999
C2 0.8218 0.7501 0.5001
C3 0.3218 0.7499 0.9999
C4 0.1782 0.2499 0.4999
N8 0.7602 0.1344 0.1030

=====

--- x ---
Below is a relaxed structure of PmCN2, with properties calculated at the GGA-PBE level.

* total magnetic moment: 0.000 μB per formula unit

a b c (Å): 3.6196 3.6196 5.7873
angles (deg): 71.78 71.78 60.00
Atoms (fractional coordinates):
C1 0.0000 0.0000 0.0000
N1 0.9235 0.9235 0.2295
Pm1 0.5000 0.5000 0.5000
N2 0.0765 0.0765 0.7705

=====

Which of them is the least stable? Correct choice: w.

=====

--- w ---
Below is a relaxed structure of PrCN, with properties calculated at the GGA-PBE level.

* total magnetic moment: 0.000 μB per formula unit

a b c (Å): 3.8039 3.8039 4.1572
angles (deg): 117.23 117.23 90.00
Atoms (fractional coordinates):
Pr1 0.2831 0.2831 0.5663
C1 0.6835 0.6835 0.3669
N1 0.8834 0.8834 0.7668

=====

--- x ---
Below is a relaxed structure of PrCN, with properties calculated at the GGA-PBE level.

* total magnetic moment: 0.000 μB per formula unit

a b c (Å): 3.7845 7.0006 6.1483
angles (deg): 90.00 90.00 90.00
Atoms (fractional coordinates):
Pr1 0.7500 0.3103 0.1619
C1 0.2500 0.5242 0.4372
N1 0.2500 0.5650 0.2223
N2 0.7500 0.4350 0.7777
N3 0.7500 0.9350 0.7223
C2 0.7500 0.4758 0.5628
Pr2 0.2500 0.1897 0.6619
Pr3 0.2500 0.6897 0.8381
N4 0.2500 0.0650 0.2777
C3 0.7500 0.9758 0.9372
Pr4 0.7500 0.8103 0.3381
C4 0.2500 0.0242 0.0628

=====

--- y ---
Below is a relaxed structure of PrCN, with properties calculated at the GGA-PBE level.

* total magnetic moment: 0.000 μB per formula unit

a b c (Å): 4.8101 4.8101 3.7483
angles (deg): 53.07 53.07 47.37
Atoms (fractional coordinates):
C1 0.4088 0.1543 0.1208
Pr1 0.7897 0.5353 0.8158
N1 0.5359 0.2814 0.6711

=====

Which of them is the least stable? Correct choice: y.

=====

--- w ---
Below is a relaxed structure of PtC3N, with properties calculated at the GGA-PBE level.

* total magnetic moment: 0.000 μB per formula unit

a b c (Å): 3.9475 3.9475 3.9475
angles (deg): 90.00 90.00 90.00
Atoms (fractional coordinates):
Pt1 0.0000 0.0000 0.0000
C1 0.0000 0.0000 0.5000
C2 0.0000 0.5000 0.0000
C3 0.5000 0.0000 0.0000
N1 0.5000 0.5000 0.5000

=====

--- x ---
Below is a relaxed structure of PtC3N, with properties calculated at the GGA-PBE level.

* total magnetic moment: 0.000 μB per formula unit

a b c (Å): 3.4853 3.4853 3.4853
angles (deg): 90.00 90.00 90.00
Atoms (fractional coordinates):
C1 0.5000 0.0000 0.0000
C2 0.0000 0.0000 0.5000
N1 0.0000 0.0000 0.0000
Pt1 0.5000 0.5000 0.5000
C3 0.0000 0.5000 0.0000

=====

Which of them is the least stable? Correct choice: w.

=====

--- w ---
Below is a relaxed structure of PtCN, with properties calculated at the GGA-PBE level.

* total magnetic moment: 0.530 μB per formula unit

a b c (Å): 4.6371 4.6371 4.1415
angles (deg): 124.04 124.04 90.00
Atoms (fractional coordinates):
C1 0.5701 0.5701 0.1401
Pt1 0.9447 0.9447 0.8894
N1 0.3352 0.3352 0.6705

=====

--- x ---
Below is a relaxed structure of PtCN, with properties calculated at the GGA-PBE level.

* total magnetic moment: 0.000 μB per formula unit

a b c (Å): 2.5841 6.8805 5.0839
angles (deg): 49.86 75.27 79.35
Atoms (fractional coordinates):
Pt1 0.4927 0.2469 0.7711
N1 0.7218 0.8444 0.7094
Pt2 0.5073 0.7531 0.2289
C1 0.6932 0.1427 0.4732
N2 0.2782 0.1556 0.2906
C2 0.3068 0.8573 0.5268

=====

Which of them is the least stable? Correct choice: w.

=====

--- w ---
Below is a relaxed structure of PtCSN2, with properties calculated at the GGA-PBE level.

* total magnetic moment: 0.683 μB per formula unit

a b c (Å): 3.6428 3.6428 7.9277
angles (deg): 90.00 90.00 90.00
Atoms (fractional coordinates):
S1 0.0000 0.0000 0.5000
N1 0.5000 0.0000 0.0000
N2 0.0000 0.5000 0.0000
Pt1 0.0000 0.0000 0.0000
C1 0.5000 0.5000 0.5000

=====

--- x ---
Below is a relaxed structure of PtCSN2, with properties calculated at the GGA-PBE level.

* total magnetic moment: 0.000 μB per formula unit

a b c (Å): 3.5297 3.5297 3.9524
angles (deg): 90.00 90.00 90.00
Atoms (fractional coordinates):
N1 0.5000 0.0000 0.0000
Pt1 0.5000 0.5000 0.5000
S1 0.0000 0.0000 0.5000
C1 0.0000 0.0000 0.0000
N2 0.0000 0.5000 0.0000

=====

Which of them is the least stable? Correct choice: w.

=====

--- w ---
Below is a relaxed structure of PtCSeN2, with properties calculated at the GGA-PBE level.

* total magnetic moment: 1.695 μB per formula unit

a b c (Å): 3.5706 3.5706 4.4219
angles (deg): 90.00 90.00 90.00
Atoms (fractional coordinates):
Pt1 0.5000 0.5000 0.5000
C1 0.0000 0.0000 0.0000
Se1 0.0000 0.0000 0.5000
N1 0.5000 0.0000 0.0000
N2 0.0000 0.5000 0.0000

=====

--- x ---
Below is a relaxed structure of PtCSeN2, with properties calculated at the GGA-PBE level.

* total magnetic moment: 0.352 μB per formula unit

a b c (Å): 3.6502 3.6502 8.4690
angles (deg): 90.00 90.00 90.00
Atoms (fractional coordinates):
Se1 0.0000 0.0000 0.5000
C1 0.5000 0.5000 0.5000
N1 0.0000 0.5000 0.0000
N2 0.5000 0.0000 0.0000
Pt1 0.0000 0.0000 0.0000

=====

Which of them is the least stable? Correct choice: w.